Entry 1:
{
  "formula": "TiIrPd2",
  "functional": "PBE",
  "state": "optimized geometry",
  "energy_ev_per_atom": -7.013,
  "formation_enthalpy_0k_kcal_per_mol_atoms": -5.25,
  "dos_ef_per_ev_cell": 5.341,
  "lattice": [[0.0000, 3.1329, 3.1329], [3.1329, 0.0000, 3.1329], [3.1329, 3.1329, 0.0000]],
  "species": ["Ti", "Ir", "Pd", "Pd"],
  "fractional_positions": [[0.0000, 0.0000, 0.0000], [0.5000, 0.5000, 0.5000], [0.2500, 0.2500, 0.2500], [0.7500, 0.7500, 0.7500]]
}

Entry 2:
{
  "formula": "Ti2Ir2Pd",
  "functional": "PBE",
  "state": "optimized geometry",
  "energy_ev_per_atom": -8.409,
  "formation_enthalpy_0k_kcal_per_mol_atoms": -15.40,
  "e_above_lowest_polymorph_ev_per_atom": 0.000,
  "dos_ef_per_ev_cell": 9.095,
  "lattice": [[7.3420, 0.0000, 0.0000], [0.0000, 7.3420, 0.0000], [0.0000, 0.0000, 2.9393]],
  "species": ["Ti", "Ti", "Ti", "Ti", "Ir", "Ir", "Ir", "Ir", "Pd", "Pd"],
  "fractional_positions": [[0.1598, 0.3402, 0.0000], [0.3402, 0.8402, 0.0000], [0.6598, 0.1598, 0.0000], [0.8402, 0.6598, 0.0000], [0.1373, 0.6373, 0.5000], [0.3627, 0.1373, 0.5000], [0.6373, 0.8627, 0.5000], [0.8627, 0.3627, 0.5000], [0.0000, 0.0000, 0.5000], [0.5000, 0.5000, 0.5000]]
}

Entry 3:
{
  "formula": "TiIr3Pd",
  "functional": "PBE",
  "state": "optimized geometry",
  "energy_ev_per_atom": -6.097,
  "formation_enthalpy_0k_kcal_per_mol_atoms": 42.37,
  "e_above_lowest_polymorph_ev_per_atom": 0.624,
  "dos_ef_per_ev_cell": 15.785,
  "lattice": [[4.6877, 0.0000, 0.0000], [0.0000, 4.6877, 0.0000], [0.0000, 0.0000, 4.6877]],
  "species": ["Ti", "Ir", "Ir", "Ir", "Pd"],
  "fractional_positions": [[0.0000, 0.0000, 0.0000], [0.0000, 0.5000, 0.5000], [0.5000, 0.0000, 0.5000], [0.5000, 0.5000, 0.0000], [0.5000, 0.5000, 0.5000]]
}

Entry 4:
{
  "formula": "Ti2IrPd",
  "functional": "PBE",
  "state": "optimized geometry",
  "energy_ev_per_atom": -7.718,
  "formation_enthalpy_0k_kcal_per_mol_atoms": -5.94,
  "dos_ef_per_ev_cell": 13.211,
  "lattice": [[-3.4733, 3.4733, 2.7646], [3.4733, -3.4733, 2.7646], [3.4733, 3.4733, -2.7646]],
  "species": ["Ti", "Ti", "Ti", "Ti", "Ir", "Ir", "Pd", "Pd"],
  "fractional_positions": [[0.1148, 0.1250, 0.4898], [0.3750, 0.8852, 0.0102], [0.6352, 0.6250, 0.5102], [0.8750, 0.3648, 0.9898], [0.0000, 0.0000, 0.0000], [0.7500, 0.2500, 0.5000], [0.2500, 0.7500, 0.5000], [0.5000, 0.5000, 0.0000]]
}